1.
# TeHIrI2 PBE relaxed
# Distance to the lowest polymorph of the same formula (eV/f.u.): 0.000
data_TeHIrI2
_chemical_formula_sum 'Te1 H1 Ir1 I2'
_space_group_name_H-M_alt 'P 4/m m m'
_space_group_IT_number 123
_space_group_name_Hall '-P 4 2'
_cell_length_a 5.716
_cell_length_b 5.716
_cell_length_c 4.993
_cell_angle_alpha 90.00
_cell_angle_beta 90.00
_cell_angle_gamma 90.00
loop_
_atom_site_label
_atom_site_type_symbol
_atom_site_fract_x
_atom_site_fract_y
_atom_site_fract_z
Te1 Te 0.000 0.000 0.000
H1 H 0.500 0.500 0.000
Ir1 Ir 0.000 0.000 0.500
I1 I 0.000 0.500 0.500

=====

2.
# ScMoW2 PBE relaxed
# Distance to the lowest polymorph of the same formula (eV/f.u.): 2.962
# Formation enthalpy at 0 K (meV/atom): 829
data_ScMoW2
_chemical_formula_sum 'Sc4 Mo4 W8'
_space_group_name_H-M_alt 'I -4 2 d'
_space_group_IT_number 122
_space_group_name_Hall 'I -4 2bw'
_cell_length_a 7.381
_cell_length_b 7.381
_cell_length_c 5.473
_cell_angle_alpha 90.00
_cell_angle_beta 90.00
_cell_angle_gamma 90.00
loop_
_atom_site_label
_atom_site_type_symbol
_atom_site_fract_x
_atom_site_fract_y
_atom_site_fract_z
Sc1 Sc 0.000 0.000 0.000
Mo1 Mo 0.000 0.000 0.500
W1 W 0.219 0.250 0.625

=====

3.
# Ce2SiS6 PBE relaxed
# Formation energy from raw total energies (meV per atom): -1130
data_Ce2SiS6
_chemical_formula_sum 'Ce4 Si2 S12'
_space_group_name_H-M_alt 'P 42/m n m'
_space_group_IT_number 136
_space_group_name_Hall '-P 4n 2n'
_cell_length_a 5.986
_cell_length_b 5.986
_cell_length_c 12.069
_cell_angle_alpha 90.00
_cell_angle_beta 90.00
_cell_angle_gamma 90.00
loop_
_atom_site_label
_atom_site_type_symbol
_atom_site_fract_x
_atom_site_fract_y
_atom_site_fract_z
Ce1 Ce 0.000 0.000 0.167
Si1 Si 0.000 0.000 0.500
S1 S 0.180 0.180 0.357
S2 S 0.218 0.218 0.000

=====

4.
# BaCo2Re PBE relaxed
# Distance to the lowest polymorph of the same formula (eV/f.u.): 0.214
# Formation enthalpy at 0 K (meV/atom): 408
data_BaCo2Re
_chemical_formula_sum 'Ba3 Co6 Re3'
_space_group_name_H-M_alt 'R 3 m'
_space_group_IT_number 160
_space_group_name_Hall 'R 3 -2"'
_cell_length_a 4.1410
_cell_length_b 4.1410
_cell_length_c 17.5855
_cell_angle_alpha 90.00
_cell_angle_beta 90.00
_cell_angle_gamma 120.00
loop_
_atom_site_label
_atom_site_type_symbol
_atom_site_fract_x
_atom_site_fract_y
_atom_site_fract_z
Ba1 Ba 0.0000 0.0000 0.0000
Co1 Co 0.0000 0.0000 0.1857
Co2 Co 0.0000 0.0000 0.4948
Re1 Re 0.0000 0.0000 0.8133

=====

5.
# CdPb2Se PBE relaxed
# Distance to the lowest polymorph of the same formula (eV/f.u.): 0.785
# Formation energy from raw total energies (meV per atom): 37
data_CdPb2Se
_chemical_formula_sum 'Cd4 Pb8 Se4'
_space_group_name_H-M_alt 'I -4 2 d'
_space_group_IT_number 122
_space_group_name_Hall 'I -4 2bw'
_cell_length_a 6.828
_cell_length_b 6.828
_cell_length_c 13.173
_cell_angle_alpha 90.00
_cell_angle_beta 90.00
_cell_angle_gamma 90.00
loop_
_atom_site_label
_atom_site_type_symbol
_atom_site_fract_x
_atom_site_fract_y
_atom_site_fract_z
Cd1 Cd 0.000 0.000 0.000
Pb1 Pb 0.245 0.250 0.625
Se1 Se 0.000 0.000 0.500

=====

6.
# NiBi3Au PBE relaxed
# Distance to the lowest polymorph of the same formula (eV/f.u.): 1.928
# Formation enthalpy at 0 K (meV/atom): 341
data_NiBi3Au
_chemical_formula_sum 'Ni1 Bi3 Au1'
_space_group_name_H-M_alt 'P m -3 m'
_space_group_IT_number 221
_space_group_name_Hall '-P 4 2 3'
_cell_length_a 5.138
_cell_length_b 5.138
_cell_length_c 5.138
_cell_angle_alpha 90.00
_cell_angle_beta 90.00
_cell_angle_gamma 90.00
loop_
_atom_site_label
_atom_site_type_symbol
_atom_site_fract_x
_atom_site_fract_y
_atom_site_fract_z
Ni1 Ni 0.000 0.000 0.000
Bi1 Bi 0.000 0.000 0.500
Au1 Au 0.500 0.500 0.500

=====

7.
# TbLuNiRh PBE relaxed
# Formation enthalpy at 0 K (meV/atom): -666
data_TbLuNiRh
_chemical_formula_sum 'Tb4 Lu4 Ni4 Rh4'
_space_group_name_H-M_alt 'F -4 3 m'
_space_group_IT_number 216
_space_group_name_Hall 'F -4 2 3'
_cell_length_a 6.762
_cell_length_b 6.762
_cell_length_c 6.762
_cell_angle_alpha 90.00
_cell_angle_beta 90.00
_cell_angle_gamma 90.00
loop_
_atom_site_label
_atom_site_type_symbol
_atom_site_fract_x
_atom_site_fract_y
_atom_site_fract_z
Tb1 Tb 0.000 0.000 0.000
Lu1 Lu 0.000 0.000 0.500
Ni1 Ni 0.250 0.250 0.250
Rh1 Rh 0.250 0.250 0.750

=====

8.
# Pr7TmMg4 PBE relaxed
# Formation enthalpy at 0 K (meV/atom): 118
data_Pr7TmMg4
_chemical_formula_sum 'Pr14 Tm2 Mg8'
_space_group_name_H-M_alt 'C 1 2/m 1'
_space_group_IT_number 12
_space_group_name_Hall '-C 2y'
_cell_length_a 15.547
_cell_length_b 5.901
_cell_length_c 9.879
_cell_angle_alpha 90.00
_cell_angle_beta 121.06
_cell_angle_gamma 90.00
loop_
_atom_site_label
_atom_site_type_symbol
_atom_site_fract_x
_atom_site_fract_y
_atom_site_fract_z
Pr1 Pr 0.000 0.000 0.000
Pr2 Pr 0.083 0.500 0.427
Pr3 Pr 0.195 0.500 0.879
Pr4 Pr 0.248 0.000 0.714
Tm1 Tm 0.000 0.500 0.000
Mg1 Mg 0.037 0.000 0.693
Mg2 Mg 0.174 0.000 0.345

=====

no.,calculated total energy (eV per cell)
1,-14.65
2,-159.00
3,-104.45
4,-80.85
5,-46.67
6,-19.00
7,-99.80
8,-85.78